Below is a geometry-optimized Ba6SnHg5 structure, with properties calculated at the PBE level.

Cell lengths 5.952, 8.480, 10.330 Å; angles 114.23, 106.74, 90.00 degrees
Element x y z (fractional)
Hg: 0.667 0.167 0.335
Hg: 0.334 0.334 0.668
Hg: 0.000 0.500 0.000
Hg: 0.666 0.666 0.332
Hg: 0.333 0.833 0.665
Ba: 0.834 0.585 0.668
Ba: 0.834 0.083 0.668
Ba: 0.500 0.751 0.000
Ba: 0.500 0.249 0.000
Ba: 0.166 0.917 0.332
Ba: 0.166 0.415 0.332
Sn: 0.000 0.000 0.000

=====

Below is a geometry-optimized Ba3Sn4Hg2 structure, with properties calculated at the PBE level.

Cell lengths 4.943, 7.037, 9.919 Å; angles 98.83, 90.00, 110.56 degrees
Element x y z (fractional)
Ba: 0.662 0.324 0.670
Ba: 0.000 0.000 0.000
Ba: 0.338 0.676 0.330
Sn: 0.699 0.397 0.037
Sn: 0.301 0.603 0.963
Sn: 0.952 0.904 0.623
Sn: 0.048 0.096 0.377
Hg: 0.634 0.267 0.303
Hg: 0.366 0.733 0.697

=====

Below is a geometry-optimized Ba2SnHg3 structure, with properties calculated at the PBE level.

Cell lengths 5.198, 6.707, 6.667 Å; angles 77.52, 67.05, 67.20 degrees
Element x y z (fractional)
Ba: 0.532 0.214 0.722
Ba: 0.465 0.792 0.278
Sn: 0.161 0.393 0.286
Hg: 0.837 0.624 0.703
Hg: 0.836 0.202 0.127
Hg: 0.170 0.776 0.884

Properties
relative energy among the computed polymorphs: 0.000 eV per atom

=====

Below is a geometry-optimized Ba2SnHg5 structure, with properties calculated at the PBE level.

Cell lengths 7.755, 7.483, 6.812 Å; angles 120.24, 124.69, 90.00 degrees
Element x y z (fractional)
Ba: 0.216 0.804 0.431
Ba: 0.732 0.144 0.463
Sn: 0.116 0.197 0.232
Hg: 0.717 0.327 0.054
Hg: 0.337 0.327 0.054
Hg: 0.616 0.616 0.844
Hg: 0.228 0.616 0.844
Hg: 0.816 0.747 0.631

Properties
relative energy among the computed polymorphs: 0.054 eV per atom

=====

Number 1: energy of formation -0.552 eV/atom. Number 2: energy of formation -0.574 eV/atom. Number 3: energy of formation -0.548 eV/atom. Number 4: energy of formation -0.368 eV/atom.